Record 1
A plane-wave DFT calculation with GGA-PBE was carried out for a relaxed SnTe2SN crystal.

Lattice parameters (Å, degrees): 6.173 6.173 3.258 90.00 90.00 90.00
Space group P4/mmm (No. 123)
One atom of each set of equivalent atoms:
1 Sn 0.000 0.000 0.000
2 Te 0.000 0.500 0.500
3 S 0.500 0.500 0.500
4 N 0.500 0.500 0.000

Results
* total DFT energy (no corrections): -19.634 eV/cell
* energy above the lowest structure with this stoichiometry: 0.000 eV per atom
* energy relative to the elements, uncorrected: 0.62 eV/atom

---

Record 2
A plane-wave DFT calculation with GGA-PBE was carried out for a relaxed SnTeSN2 crystal.

Lattice parameters (Å, degrees): 4.143 4.143 5.216 90.00 90.00 90.00
Space group P4/mmm (No. 123)
One atom of each set of equivalent atoms:
1 Sn 0.000 0.000 0.000
2 Te 0.500 0.500 0.500
3 S 0.000 0.000 0.500
4 N 0.000 0.500 0.000

Results
* total DFT energy (no corrections): -21.593 eV/cell
* energy above the lowest structure with this stoichiometry: 0.204 eV per atom
* energy relative to the elements, uncorrected: 1.27 eV/atom

---

Record 3
A plane-wave DFT calculation with GGA-PBE was carried out for a relaxed SnTe2SN crystal.

Lattice parameters (Å, degrees): 5.810 5.810 3.898 90.00 90.00 90.00
Space group P4/mmm (No. 123)
One atom of each set of equivalent atoms:
1 Sn 0.000 0.000 0.000
2 Te 0.000 0.500 0.000
3 S 0.500 0.500 0.500
4 N 0.000 0.000 0.500

Results
* total DFT energy (no corrections): -17.263 eV/cell
* energy above the lowest structure with this stoichiometry: 0.474 eV per atom
* energy relative to the elements, uncorrected: 1.10 eV/atom

---

Record 4
A plane-wave DFT calculation with GGA-PBE was carried out for a relaxed SnTeSN2 crystal.

Lattice parameters (Å, degrees): 4.072 4.072 5.301 90.00 90.00 90.00
Space group P4/mmm (No. 123)
One atom of each set of equivalent atoms:
1 Sn 0.000 0.000 0.000
2 Te 0.500 0.500 0.500
3 S 0.500 0.500 0.000
4 N 0.000 0.500 0.500

Results
* total DFT energy (no corrections): -22.610 eV/cell
* energy above the lowest structure with this stoichiometry: 0.000 eV per atom
* energy relative to the elements, uncorrected: 1.06 eV/atom

---

Record 5
A plane-wave DFT calculation with GGA-PBE was carried out for a relaxed SnTeSN2 crystal.

Lattice parameters (Å, degrees): 4.047 4.047 5.248 90.00 90.00 90.00
Space group P4/mmm (No. 123)
One atom of each set of equivalent atoms:
1 Sn 0.000 0.000 0.000
2 Te 0.500 0.500 0.000
3 S 0.500 0.500 0.500
4 N 0.000 0.500 0.500

Results
* total DFT energy (no corrections): -19.767 eV/cell
* energy above the lowest structure with this stoichiometry: 0.569 eV per atom
* energy relative to the elements, uncorrected: 1.63 eV/atom

---

Record 6
A plane-wave DFT calculation with GGA-PBE was carried out for a relaxed VSnS2N crystal.

Lattice parameters (Å, degrees): 4.839 4.839 3.672 90.00 90.00 90.00
Space group P4/mmm (No. 123)
One atom of each set of equivalent atoms:
1 V 0.000 0.000 0.000
2 Sn 0.500 0.500 0.500
3 S 0.000 0.500 0.000
4 N 0.000 0.000 0.500

Results
* total DFT energy (no corrections): -30.749 eV/cell
* energy above the lowest structure with this stoichiometry: 0.000 eV per atom
* energy relative to the elements, uncorrected: -0.21 eV/atom

---

Record 7
A plane-wave DFT calculation with GGA-PBE was carried out for a relaxed VSnS2N crystal.

Lattice parameters (Å, degrees): 5.037 5.037 3.897 90.00 90.00 90.00
Space group P4/mmm (No. 123)
One atom of each set of equivalent atoms:
1 V 0.000 0.000 0.000
2 Sn 0.500 0.500 0.500
3 S 0.000 0.500 0.500
4 N 0.500 0.500 0.000

Results
* total DFT energy (no corrections): -24.323 eV/cell
* energy above the lowest structure with this stoichiometry: 1.285 eV per atom
* energy relative to the elements, uncorrected: 1.08 eV/atom

---

Record 8
A plane-wave DFT calculation with GGA-PBE was carried out for a relaxed SnWS2N crystal.

Lattice parameters (Å, degrees): 5.009 5.009 3.913 90.00 90.00 90.00
Space group P4/mmm (No. 123)
One atom of each set of equivalent atoms:
1 Sn 0.000 0.000 0.000
2 W 0.500 0.500 0.500
3 S 0.000 0.500 0.000
4 N 0.000 0.000 0.500

Results
* total DFT energy (no corrections): -25.972 eV/cell
* energy above the lowest structure with this stoichiometry: 1.588 eV per atom
* energy relative to the elements, uncorrected: 1.51 eV/atom

---

Record 9
A plane-wave DFT calculation with GGA-PBE was carried out for a relaxed SnWS2N crystal.

Lattice parameters (Å, degrees): 4.890 4.890 3.855 90.00 90.00 90.00
Space group P4/mmm (No. 123)
One atom of each set of equivalent atoms:
1 Sn 0.000 0.000 0.000
2 W 0.500 0.500 0.500
3 S 0.000 0.500 0.500
4 N 0.500 0.500 0.000

Results
* total DFT energy (no corrections): -33.913 eV/cell
* energy above the lowest structure with this stoichiometry: 0.000 eV per atom
* energy relative to the elements, uncorrected: -0.08 eV/atom

---

Record 10
A plane-wave DFT calculation with GGA-PBE was carried out for a relaxed YSnS2N crystal.

Lattice parameters (Å, degrees): 5.035 5.035 3.984 90.00 90.00 90.00
Space group P4/mmm (No. 123)
One atom of each set of equivalent atoms:
1 Y 0.000 0.000 0.000
2 Sn 0.500 0.500 0.500
3 S 0.000 0.500 0.500
4 N 0.500 0.500 0.000

Results
* total DFT energy (no corrections): -28.102 eV/cell
* energy above the lowest structure with this stoichiometry: 0.000 eV per atom
* energy relative to the elements, uncorrected: -0.21 eV/atom

---

Record 11
A plane-wave DFT calculation with GGA-PBE was carried out for a relaxed YSnS2N crystal.

Lattice parameters (Å, degrees): 5.306 5.306 4.407 90.00 90.00 90.00
Space group P4/mmm (No. 123)
One atom of each set of equivalent atoms:
1 Y 0.000 0.000 0.000
2 Sn 0.500 0.500 0.500
3 S 0.000 0.500 0.000
4 N 0.000 0.000 0.500

Results
* total DFT energy (no corrections): -27.667 eV/cell
* energy above the lowest structure with this stoichiometry: 0.087 eV per atom
* energy relative to the elements, uncorrected: -0.12 eV/atom

---

Record 12
A plane-wave DFT calculation with GGA-PBE was carried out for a relaxed ZnSnS2N crystal.

Lattice parameters (Å, degrees): 5.101 5.101 4.030 90.00 90.00 90.00
Space group P4/mmm (No. 123)
One atom of each set of equivalent atoms:
1 Zn 0.000 0.000 0.000
2 Sn 0.500 0.500 0.500
3 S 0.000 0.500 0.500
4 N 0.500 0.500 0.000

Results
* total DFT energy (no corrections): -17.828 eV/cell
* energy above the lowest structure with this stoichiometry: 0.192 eV per atom
* energy relative to the elements, uncorrected: 0.81 eV/atom